A relaxed CsBa2In crystal, computed with PBE-GGA.

Properties
Space-group type: R3m
ΔE_f, eV/atom: -0.04

Lattice parameters (Å, degrees): 9.662 9.662 9.662 34.73 34.73 34.73
Element x y z (fractional)
Cs  0.000  0.000  0.000
Ba  0.213  0.213  0.213
Ba  0.449  0.449  0.449
In  0.830  0.830  0.830